{
  "formula": "NdSi2Au3",
  "functional": "GGA-PBE",
  "state": "optimized geometry",
  "magnetic_moment_mub_per_fu": 0.00,
  "dft_energy_ev_per_atom": -4.7390,
  "lattice": [[-2.637, 1.571, 3.031], [-4.978, -5.536, -1.461], [6.719, -2.462, 4.052]],
  "species": ["Si", "Si", "Si", "Si", "Au", "Au", "Au", "Au", "Au", "Au", "Nd", "Nd"],
  "fractional_positions": [[0.190, 0.692, 0.380], [0.487, 0.837, 0.974], [0.513, 0.163, 0.026], [0.810, 0.308, 0.620], [0.959, 0.640, 0.917], [0.620, 0.735, 0.240], [0.318, 0.589, 0.636], [0.682, 0.411, 0.364], [0.041, 0.360, 0.083], [0.380, 0.265, 0.760], [0.150, 0.072, 0.300], [0.850, 0.928, 0.700]]
}